The following is a DFT calculation (PBE-GGA) of NiTe4Pb after structural relaxation.

Cell: 6.3431 6.3431 6.3431 Å, 60.00 60.00 60.00°
With the nearest neighbours (Å) after each atom.
Atoms (fractional coordinates):
Te  0.8728  0.3757  0.3757  6 Te 3.15-3.19
Te  0.3757  0.3757  0.3757  6 Te 3.15-3.19
Te  0.3757  0.3757  0.8728  6 Te 3.15-3.19
Te  0.3757  0.8728  0.3757  6 Te 3.15-3.19
Ni  0.7500  0.7500  0.7500  12 Te 3.72, 4 Pb 3.88
Pb  0.0000  0.0000  0.0000  12 Te 3.72, 4 Ni 3.88

Results
The formation energy (no corrections) is 0.70 eV/atom.